# Ta2OsPb

A geometry-optimized Ta2OsPb structure (PBE, Alexandria).

```
data_Ta2OsPb
_chemical_formula_sum 'Ta2 Os1 Pb1'
_symmetry_space_group_name_H-M 'P 1'
_symmetry_Int_Tables_number 1
_symmetry_space_group_name_Hall 'P 1'
_cell_length_a 4.274
_cell_length_b 4.127
_cell_length_c 4.127
_cell_angle_alpha 90.00
_cell_angle_beta 90.00
_cell_angle_gamma 90.00
loop_
_atom_site_label
_atom_site_fract_x
_atom_site_fract_y
_atom_site_fract_z
Pb1 0.500 0.000 0.500
Os1 0.500 0.500 0.000
Ta1 0.000 0.500 0.500
Ta2 0.000 0.000 0.000
```

density of states at the Fermi level	4.249	states/eV/f.u.
DFT formation energy	416	meV per atom